*1*
{
  "formula": "Tb4ZnIn3",
  "functional": "PBE",
  "state": "relaxed",
  "lattice": [[3.8068, 0.0000, 0.0000], [0.0000, 4.7166, 0.0000], [0.0000, 0.0000, 11.9821]],
  "species": ["Tb", "Tb", "Tb", "Tb", "Zn", "In", "In", "In"],
  "fractional_positions": [[0.0000, 0.0000, 0.0000], [0.0000, 0.5000, 0.2994], [0.5000, 0.0000, 0.4827], [0.5000, 0.5000, 0.8072], [0.5000, 0.0000, 0.2250], [0.0000, 0.0000, 0.7261], [0.0000, 0.5000, 0.5701], [0.5000, 0.5000, 0.0777]],
  "spacegroup": "Pmm2, No. 25"
}

=====

*2*
{
  "formula": "Tb4ZnIn3",
  "functional": "PBE",
  "state": "relaxed",
  "lattice": [[3.6249, 0.0000, 0.0000], [0.0000, 3.6249, 0.0000], [0.0000, 0.0000, 15.7390]],
  "species": ["Tb", "Tb", "Tb", "Tb", "Zn", "In", "In", "In"],
  "fractional_positions": [[0.0000, 0.0000, 0.1101], [0.0000, 0.0000, 0.3695], [0.0000, 0.0000, 0.6305], [0.0000, 0.0000, 0.8899], [0.5000, 0.5000, 0.0000], [0.5000, 0.5000, 0.2385], [0.5000, 0.5000, 0.5000], [0.5000, 0.5000, 0.7615]],
  "spacegroup": "P4/mmm, No. 123"
}

=====

Which of them is least stable? Easy: *1*.

=====

*1*
{
  "formula": "Tb4Zn3In",
  "functional": "PBE",
  "state": "relaxed",
  "lattice": [[3.7028, 0.0000, 0.0000], [0.0000, 4.5874, 0.0000], [0.0000, 0.0000, 11.6251]],
  "species": ["Tb", "Tb", "Tb", "Tb", "Zn", "Zn", "Zn", "In"],
  "fractional_positions": [[0.0000, 0.0000, 0.0000], [0.0000, 0.5000, 0.2924], [0.5000, 0.0000, 0.4799], [0.5000, 0.5000, 0.8063], [0.0000, 0.5000, 0.5660], [0.5000, 0.0000, 0.2126], [0.5000, 0.5000, 0.0759], [0.0000, 0.0000, 0.7115]],
  "spacegroup": "Pmm2, No. 25"
}

=====

*2*
{
  "formula": "Tb4Zn3In",
  "functional": "PBE",
  "state": "relaxed",
  "lattice": [[3.6553, 0.0000, 0.0000], [0.0000, 5.1417, 0.0000], [0.0000, 0.0000, 10.2679]],
  "species": ["Tb", "Tb", "Tb", "Tb", "Zn", "Zn", "Zn", "In"],
  "fractional_positions": [[0.0000, 0.0000, 0.0000], [0.0000, 0.0000, 0.5000], [0.0000, 0.5000, 0.2387], [0.0000, 0.5000, 0.7613], [0.5000, 0.0000, 0.2483], [0.5000, 0.0000, 0.7517], [0.5000, 0.5000, 0.0000], [0.5000, 0.5000, 0.5000]],
  "spacegroup": "Pmmm, No. 47"
}

=====

Which of them is least stable? Easy: *1*.

=====

*1*
{
  "formula": "TbZrIn",
  "functional": "PBE",
  "state": "relaxed",
  "lattice": [[-1.7080, 1.7080, 6.6099], [1.7080, -1.7080, 6.6099], [1.7080, 1.7080, -6.6099]],
  "species": ["Tb", "Zr", "In"],
  "fractional_positions": [[0.0000, 0.0000, 0.0000], [0.3242, 0.3242, 0.0000], [0.6723, 0.6723, 0.0000]],
  "spacegroup": "I4mm, No. 107"
}

=====

*2*
{
  "formula": "TbZrIn",
  "functional": "PBE",
  "state": "relaxed",
  "lattice": [[5.2081, 0.0000, 0.0000], [-2.6040, 4.5103, 0.0000], [0.0000, 0.0000, 3.1357]],
  "species": ["Tb", "Zr", "In"],
  "fractional_positions": [[0.0000, 0.0000, 0.0000], [0.3333, 0.6667, 0.0000], [0.6667, 0.3333, 0.5000]],
  "spacegroup": "P-6m2, No. 187"
}

=====

Which of them is least stable? Easy: *2*.

=====

*1*
{
  "formula": "TbZrIn",
  "functional": "PBE",
  "state": "relaxed",
  "lattice": [[2.2692, -5.6477, 0.0000], [2.2692, 5.6477, 0.0000], [0.0000, 0.0000, 6.2553]],
  "species": ["Tb", "Tb", "Zr", "Zr", "In", "In"],
  "fractional_positions": [[0.1971, 0.8029, 0.7500], [0.8029, 0.1971, 0.2500], [0.5000, 0.5000, 0.0000], [0.5000, 0.5000, 0.5000], [0.1093, 0.8907, 0.2500], [0.8907, 0.1093, 0.7500]],
  "spacegroup": "Cmcm, No. 63"
}

=====

*2*
{
  "formula": "TbZrIn",
  "functional": "PBE",
  "state": "relaxed",
  "lattice": [[5.4267, -2.1922, 0.0000], [5.4267, 2.1922, 0.0000], [-0.1530, 0.0000, 6.8032]],
  "species": ["Tb", "Tb", "Zr", "Zr", "In", "In"],
  "fractional_positions": [[0.0000, 0.0000, 0.0000], [0.7056, 0.7056, 0.2010], [0.0978, 0.0978, 0.5178], [0.8163, 0.8163, 0.6249], [0.2892, 0.2892, 0.9062], [0.4185, 0.4185, 0.3529]],
  "spacegroup": "Cm, No. 8"
}

=====

Which of them is least stable? Easy: *2*.

=====

*1*
{
  "formula": "InTc4",
  "functional": "PBE",
  "state": "relaxed",
  "lattice": [[-2.9140, 2.9140, 2.9140], [2.9140, -2.9140, 2.9140], [2.9140, 2.9140, -2.9140]],
  "species": ["In", "Tc", "Tc", "Tc", "Tc"],
  "fractional_positions": [[0.0000, 0.0000, 0.0000], [0.0000, 0.0000, 0.5000], [0.0000, 0.5000, 0.0000], [0.5000, 0.0000, 0.0000], [0.5000, 0.5000, 0.5000]],
  "spacegroup": "Im-3m, No. 229"
}

=====

*2*
{
  "formula": "InTc4",
  "functional": "PBE",
  "state": "relaxed",
  "lattice": [[4.7783, 0.0000, 0.0000], [0.0000, 4.7783, 0.0000], [0.0000, 0.0000, 4.7783]],
  "species": ["In", "Tc", "Tc", "Tc", "Tc"],
  "fractional_positions": [[0.0000, 0.0000, 0.0000], [0.0000, 0.0000, 0.5000], [0.0000, 0.5000, 0.0000], [0.5000, 0.0000, 0.0000], [0.5000, 0.5000, 0.5000]],
  "spacegroup": "Pm-3m, No. 221"
}

=====

Which of them is least stable? Easy: *2*.

=====

*1*
{
  "formula": "InTcTe3",
  "functional": "PBE",
  "state": "relaxed",
  "lattice": [[5.3121, 0.0000, 0.0000], [0.0000, 5.3121, 0.0000], [0.0000, 0.0000, 5.3121]],
  "species": ["In", "Tc", "Te", "Te", "Te"],
  "fractional_positions": [[0.0000, 0.0000, 0.0000], [0.5000, 0.5000, 0.5000], [0.0000, 0.5000, 0.5000], [0.5000, 0.0000, 0.5000], [0.5000, 0.5000, 0.0000]],
  "spacegroup": "Pm-3m, No. 221"
}

=====

*2*
{
  "formula": "InTcTe3",
  "functional": "PBE",
  "state": "relaxed",
  "lattice": [[5.6252, 0.0000, 0.0000], [0.0000, 5.6252, 0.0000], [0.0000, 0.0000, 5.6252]],
  "species": ["In", "Tc", "Te", "Te", "Te"],
  "fractional_positions": [[0.0000, 0.0000, 0.0000], [0.5000, 0.5000, 0.5000], [0.0000, 0.0000, 0.5000], [0.0000, 0.5000, 0.0000], [0.5000, 0.0000, 0.0000]],
  "spacegroup": "Pm-3m, No. 221"
}

=====

Which of them is least stable? Easy: *2*.

=====

*1*
{
  "formula": "Th8In2Tc",
  "functional": "PBE",
  "state": "relaxed",
  "lattice": [[4.9254, 0.0000, 0.0000], [0.0000, 4.9254, 0.0000], [0.0000, 0.0000, 13.5929]],
  "species": ["Th", "Th", "Th", "Th", "Th", "Th", "Th", "Th", "In", "In", "Tc"],
  "fractional_positions": [[0.0000, 0.0000, 0.1849], [0.0000, 0.0000, 0.8151], [0.0000, 0.5000, 0.0000], [0.0000, 0.5000, 0.3698], [0.0000, 0.5000, 0.6302], [0.5000, 0.0000, 0.0000], [0.5000, 0.0000, 0.3698], [0.5000, 0.0000, 0.6302], [0.5000, 0.5000, 0.1832], [0.5000, 0.5000, 0.8168], [0.5000, 0.5000, 0.5000]],
  "spacegroup": "P4/mmm, No. 123"
}

=====

*2*
{
  "formula": "Th8In2Tc",
  "functional": "PBE",
  "state": "relaxed",
  "lattice": [[9.2246, -2.7816, 0.0000], [9.2246, 2.7816, 0.0000], [-2.4702, 0.0000, 6.4541]],
  "species": ["Th", "Th", "Th", "Th", "Th", "Th", "Th", "Th", "In", "In", "Tc"],
  "fractional_positions": [[0.0025, 0.0025, 0.2382], [0.2143, 0.2143, 0.1347], [0.3587, 0.3587, 0.6682], [0.4067, 0.4067, 0.2392], [0.5933, 0.5933, 0.7608], [0.6413, 0.6413, 0.3318], [0.7857, 0.7857, 0.8653], [0.9975, 0.9975, 0.7618], [0.1721, 0.1721, 0.6263], [0.8279, 0.8279, 0.3737], [0.5000, 0.5000, 0.0000]],
  "spacegroup": "C2/m, No. 12"
}

=====

Which of them is least stable? Easy: *2*.

=====

*1*
{
  "formula": "Th2InTc",
  "functional": "PBE",
  "state": "relaxed",
  "lattice": [[5.8843, 0.0000, 0.0000], [0.0000, 9.1697, 0.0000], [0.0000, 0.0000, 8.0610]],
  "species": ["Th", "Th", "Th", "Th", "Th", "Th", "Th", "Th", "In", "In", "In", "In", "Tc", "Tc", "Tc", "Tc"],
  "fractional_positions": [[0.9996, 0.0587, 0.0000], [0.9999, 0.3805, 0.3082], [0.0001, 0.6195, 0.8082], [0.0004, 0.9413, 0.5000], [0.4999, 0.1195, 0.3082], [0.4996, 0.4413, 0.0000], [0.5004, 0.5587, 0.5000], [0.5001, 0.8805, 0.8082], [0.2494, 0.2504, 0.6743], [0.2506, 0.7504, 0.1743], [0.7494, 0.2496, 0.6743], [0.7506, 0.7496, 0.1743], [0.0008, 0.6314, 0.4561], [0.4992, 0.1314, 0.9561], [0.5008, 0.8686, 0.4561], [0.9992, 0.3686, 0.9561]],
  "spacegroup": "Pna2_1, No. 33"
}

=====

*2*
{
  "formula": "Th2InTc",
  "functional": "PBE",
  "state": "relaxed",
  "lattice": [[0.0000, 3.7180, 3.7180], [3.7180, 0.0000, 3.7180], [3.7180, 3.7180, 0.0000]],
  "species": ["Th", "Th", "In", "Tc"],
  "fractional_positions": [[0.2500, 0.2500, 0.2500], [0.7500, 0.7500, 0.7500], [0.0000, 0.0000, 0.0000], [0.5000, 0.5000, 0.5000]],
  "spacegroup": "Fm-3m, No. 225"
}

=====

Which of them is least stable? Easy: *2*.

=====

*1*
{
  "formula": "TiInTc",
  "functional": "PBE",
  "state": "relaxed",
  "lattice": [[-1.6569, 1.6569, 4.6951], [1.6569, -1.6569, 4.6951], [1.6569, 1.6569, -4.6951]],
  "species": ["Ti", "In", "Tc"],
  "fractional_positions": [[0.0000, 0.0000, 0.0000], [0.6910, 0.6910, 0.0000], [0.3741, 0.3741, 0.0000]],
  "spacegroup": "I4mm, No. 107"
}

=====

*2*
{
  "formula": "TiInTc",
  "functional": "PBE",
  "state": "relaxed",
  "lattice": [[3.9372, -2.2988, 0.0000], [3.9372, 2.2988, 0.0000], [-0.0597, 0.0000, 5.7227]],
  "species": ["Ti", "Ti", "In", "In", "Tc", "Tc"],
  "fractional_positions": [[0.0014, 0.0014, 0.2151], [0.9986, 0.9986, 0.7849], [0.3326, 0.3326, 0.6071], [0.6674, 0.6674, 0.3929], [0.3342, 0.3342, 0.1014], [0.6658, 0.6658, 0.8986]],
  "spacegroup": "C2/m, No. 12"
}

=====

Which of them is least stable? Easy: *2*.

=====

*1*
{
  "formula": "Tl2InTc",
  "functional": "PBE",
  "state": "relaxed",
  "lattice": [[3.7843, 0.0000, 0.0000], [0.0000, 3.7843, 0.0000], [0.0000, 0.0000, 6.1253]],
  "species": ["Tl", "Tl", "In", "Tc"],
  "fractional_positions": [[0.0000, 0.0000, 0.2351], [0.0000, 0.0000, 0.7649], [0.5000, 0.5000, 0.5000], [0.5000, 0.5000, 0.0000]],
  "spacegroup": "P4/mmm, No. 123"
}

=====

*2*
{
  "formula": "Tl2InTc",
  "functional": "PBE",
  "state": "relaxed",
  "lattice": [[-5.1825, 5.1825, 2.6572], [5.1825, -5.1825, 2.6572], [5.1825, 5.1825, -2.6572]],
  "species": ["Tl", "Tl", "Tl", "Tl", "In", "In", "Tc", "Tc"],
  "fractional_positions": [[0.3750, 0.1261, 0.2511], [0.8739, 0.1250, 0.2489], [0.8750, 0.1239, 0.7489], [0.8761, 0.6250, 0.7511], [0.2500, 0.7500, 0.5000], [0.5000, 0.5000, 0.0000], [0.0000, 0.0000, 0.0000], [0.7500, 0.2500, 0.5000]],
  "spacegroup": "I-42d, No. 122"
}

=====

*3*
{
  "formula": "Tl2InTc",
  "functional": "PBE",
  "state": "relaxed",
  "lattice": [[3.1000, -5.3446, 0.0000], [3.1000, 5.3446, 0.0000], [-1.7218, 0.0000, 2.7833]],
  "species": ["Tl", "Tl", "In", "Tc"],
  "fractional_positions": [[0.0000, 0.5000, 0.0000], [0.5000, 0.0000, 0.0000], [0.0000, 0.0000, 0.5000], [0.5000, 0.5000, 0.5000]],
  "spacegroup": "C2/m, No. 12"
}

=====

*4*
{
  "formula": "Tl2InTc",
  "functional": "PBE",
  "state": "relaxed",
  "lattice": [[-2.1821, 2.1821, 4.6746], [2.1821, -2.1821, 4.6746], [2.1821, 2.1821, -4.6746]],
  "species": ["Tl", "Tl", "In", "Tc"],
  "fractional_positions": [[0.2500, 0.7500, 0.5000], [0.7500, 0.2500, 0.5000], [0.0000, 0.0000, 0.0000], [0.5000, 0.5000, 0.0000]],
  "spacegroup": "I4/mmm, No. 139"
}

=====

Which of them is least stable? Easy: *3*.

=====

*1*
{
  "formula": "Tm2InTc",
  "functional": "PBE",
  "state": "relaxed",
  "lattice": [[3.5199, 0.0000, 0.0000], [0.0000, 3.5199, 0.0000], [0.0000, 0.0000, 7.3167]],
  "species": ["Tm", "Tm", "In", "Tc"],
  "fractional_positions": [[0.0000, 0.0000, 0.2152], [0.0000, 0.0000, 0.7848], [0.5000, 0.5000, 0.5000], [0.5000, 0.5000, 0.0000]],
  "spacegroup": "P4/mmm, No. 123"
}

=====

*2*
{
  "formula": "Tm2InTc",
  "functional": "PBE",
  "state": "relaxed",
  "lattice": [[0.0000, 3.5405, 3.5405], [3.5405, 0.0000, 3.5405], [3.5405, 3.5405, 0.0000]],
  "species": ["Tm", "Tm", "In", "Tc"],
  "fractional_positions": [[0.2500, 0.2500, 0.2500], [0.7500, 0.7500, 0.7500], [0.0000, 0.0000, 0.0000], [0.5000, 0.5000, 0.5000]],
  "spacegroup": "Fm-3m, No. 225"
}

=====

Which of them is least stable? Easy: *2*.

=====

*1*
{
  "formula": "Tm4InTc",
  "functional": "PBE",
  "state": "relaxed",
  "lattice": [[2.5002, 1.4435, 7.9301], [-2.5002, 1.4435, 7.9301], [0.0000, -2.8869, 7.9301]],
  "species": ["Tm", "Tm", "Tm", "Tm", "In", "Tc"],
  "fractional_positions": [[0.1144, 0.1144, 0.1144], [0.3644, 0.3644, 0.3644], [0.6356, 0.6356, 0.6356], [0.8856, 0.8856, 0.8856], [0.5000, 0.5000, 0.5000], [0.0000, 0.0000, 0.0000]],
  "spacegroup": "R-3m, No. 166"
}

=====

*2*
{
  "formula": "Tm4InTc",
  "functional": "PBE",
  "state": "relaxed",
  "lattice": [[4.3140, -6.4064, 0.0000], [4.3140, 6.4064, 0.0000], [-1.8483, 0.0000, 5.8418]],
  "species": ["Tm", "Tm", "Tm", "Tm", "Tm", "Tm", "Tm", "Tm", "In", "In", "Tc", "Tc"],
  "fractional_positions": [[0.0612, 0.7244, 0.9513], [0.1992, 0.3555, 0.6134], [0.2756, 0.9388, 0.5487], [0.3555, 0.1992, 0.1134], [0.6445, 0.8008, 0.8866], [0.7244, 0.0612, 0.4513], [0.8008, 0.6445, 0.3866], [0.9388, 0.2756, 0.0487], [0.3743, 0.6257, 0.2500], [0.6257, 0.3743, 0.7500], [0.0007, 0.9993, 0.7500], [0.9993, 0.0007, 0.2500]],
  "spacegroup": "C2/c, No. 15"
}

=====

Which of them is least stable? Easy: *1*.